(a)
The following is a GGA+U calculation of a relaxed Li4MnF7 crystal, from the Alexandria database.

a b c (Å): 5.9712 5.9712 5.9712
angles (deg): 60.00 60.00 60.00
Last column: nearest neighbours and their distance in Å.
Fractional positions:
Mn 0.0000 0.0000 0.0000  6 F 2.00
Li 0.3736 0.8793 0.3736  4 F 1.81-1.90
F 0.2363 0.7637 0.2363  2 Li 1.90, 1 Mn 2.00
Li 0.3736 0.3736 0.3736  4 F 1.81-1.90
Li 0.3736 0.3736 0.8793  4 F 1.81-1.90
F 0.7637 0.2363 0.7637  2 Li 1.90, 1 Mn 2.00
F 0.2363 0.2363 0.7637  2 Li 1.90, 1 Mn 2.00
F 0.7637 0.7637 0.2363  2 Li 1.90, 1 Mn 2.00
Li 0.8793 0.3736 0.3736  4 F 1.81-1.90
F 0.2500 0.2500 0.2500  4 Li 1.81
F 0.7637 0.2363 0.2363  2 Li 1.90, 1 Mn 2.00
F 0.2363 0.7637 0.7637  2 Li 1.90, 1 Mn 2.00

Summary:
Magnetization in μB per cell: 4.0
Crystal system: cubic

=====

(b)
The following is a GGA+U calculation of a relaxed Li4MnF7 crystal, from the Alexandria database.

a b c (Å): 5.6805 6.9776 7.5018
angles (deg): 63.43 69.45 76.39
Last column: nearest neighbours and their distance in Å.
Fractional positions:
Mn 0.0000 0.0000 0.5000  4 F 1.87-1.96
Li 0.5232 0.2804 0.6216  4 F 1.93-2.08
F 0.7753 0.5223 0.9351  5 Li 1.92-2.14
Li 0.5103 0.2897 0.1470  5 F 1.93-2.14
F 0.3405 0.0230 0.3493  1 Mn 1.87, 2 Li 2.00-2.02
Li 0.1509 0.5431 0.8113  5 F 1.92-2.12
F 0.1004 0.8812 0.7561  2 Mn 1.96-2.18, 1 Li 2.17
F 0.8996 0.1188 0.2439  2 Mn 1.96-2.18, 1 Li 2.17
Li 0.4768 0.7196 0.3784  4 F 1.93-2.08
F 0.6595 0.9770 0.6507  1 Mn 1.87, 2 Li 2.00-2.02
Li 0.8379 0.4442 0.6978  5 F 1.92-2.09
Li 0.8491 0.4569 0.1887  5 F 1.92-2.12
Li 0.1621 0.5558 0.3022  5 F 1.92-2.09
F 0.7035 0.1554 0.9341  1 Mn 1.87, 2 Li 2.06-2.09
F 0.4890 0.4370 0.3442  5 Li 1.92-2.11
F 0.1736 0.2468 0.8029  1 Mn 1.90, 2 Li 1.97-2.07
F 0.2965 0.8446 0.0659  1 Mn 1.87, 2 Li 2.06-2.09
F 0.2247 0.4777 0.0649  5 Li 1.92-2.14
Li 0.4897 0.7103 0.8530  5 F 1.93-2.14
F 0.0742 0.6785 0.5191  4 Li 2.02-2.18, 1 Mn 2.13
F 0.9258 0.3215 0.4809  4 Li 2.02-2.18, 1 Mn 2.13
Mn 0.0000 0.0000 0.0000  4 F 1.87-1.90
F 0.8264 0.7532 0.1971  1 Mn 1.90, 2 Li 1.97-2.07
F 0.5110 0.5630 0.6558  5 Li 1.92-2.11

Summary:
Magnetization in μB per cell: 8.0
Crystal system: triclinic

=====

The data favor (b); the next most stable structure lies 0.033 eV/atom above it.

=====

(a)
The following is a GGA+U calculation of a relaxed Li2MnF6 crystal, from the Alexandria database.

a b c (Å): 5.0250 5.0250 9.0072
angles (deg): 90.00 90.00 120.00
Last column: nearest neighbours and their distance in Å.
Fractional positions:
F 0.3364 0.3640 0.8651  1 Mn 1.85, 1 Li 2.03
F 0.9724 0.3364 0.1349  1 Mn 1.85, 1 Li 2.03
F 0.0276 0.6636 0.8651  1 Mn 1.85, 1 Li 2.03
F 0.6360 0.6636 0.6347  1 Mn 1.85, 1 Li 2.03
F 0.0276 0.3640 0.6347  1 Mn 1.85, 1 Li 2.03
Li 0.0000 0.0000 0.5000  6 F 2.14
Mn 0.6667 0.3333 0.2501  6 F 1.85
F 0.3364 0.9724 0.6347  1 Mn 1.85, 1 Li 2.03
F 0.6636 0.6360 0.1349  1 Mn 1.85, 1 Li 2.03
F 0.6636 0.0276 0.3653  1 Mn 1.85, 1 Li 2.03
Mn 0.3333 0.6667 0.7499  6 F 1.85
Li 0.6667 0.3333 0.7498  6 F 2.03
F 0.6360 0.9724 0.8651  1 Mn 1.85, 1 Li 2.03
Li 0.0000 0.0000 0.0000  6 F 2.14
Li 0.3333 0.6667 0.2502  6 F 2.03
F 0.3640 0.3364 0.3653  1 Mn 1.85, 1 Li 2.03
F 0.9724 0.6360 0.3653  1 Mn 1.85, 1 Li 2.03
F 0.3640 0.0276 0.1349  1 Mn 1.85, 1 Li 2.03

Summary:
Magnetization in μB per cell: 5.9
Crystal system: trigonal

=====

(b)
The following is a GGA+U calculation of a relaxed Li2MnF6 crystal, from the Alexandria database.

a b c (Å): 8.6718 8.6718 4.4732
angles (deg): 90.00 90.00 120.00
Last column: nearest neighbours and their distance in Å.
Fractional positions:
F 0.1052 0.2104 0.2152  1 Mn 1.85, 2 Li 2.02
Li 0.0000 0.6594 0.0000  6 F 2.02-2.14
Li 0.6594 0.6594 0.0000  6 F 2.02-2.14
F 0.5652 0.1303 0.7491  1 Mn 1.86, 2 Li 2.03
F 0.7896 0.8948 0.2152  1 Mn 1.85, 2 Li 2.02
F 0.4656 0.2328 0.2736  1 Mn 1.84
F 0.7672 0.5344 0.2736  1 Mn 1.84
F 0.1052 0.8948 0.2152  1 Mn 1.85, 2 Li 2.02
F 0.5344 0.7672 0.7264  1 Mn 1.84
F 0.8697 0.4348 0.7491  1 Mn 1.86, 2 Li 2.03
F 0.8948 0.7896 0.7848  1 Mn 1.85, 2 Li 2.02
F 0.2328 0.7672 0.7264  1 Mn 1.84
Mn 0.0000 0.0000 0.0000  6 F 1.85
F 0.2328 0.4656 0.7264  1 Mn 1.84
Mn 0.6667 0.3333 0.5091  6 F 1.84-1.86
F 0.8948 0.1052 0.7848  1 Mn 1.85, 2 Li 2.02
F 0.1303 0.5652 0.2509  1 Mn 1.86, 2 Li 2.03
F 0.4348 0.5652 0.2509  1 Mn 1.86, 2 Li 2.03
Li 0.3406 0.3406 0.0000  6 F 2.02-2.14
F 0.5652 0.4348 0.7491  1 Mn 1.86, 2 Li 2.03
Mn 0.3333 0.6667 0.4909  6 F 1.84-1.86
Li 0.0000 0.3406 0.0000  6 F 2.02-2.14
F 0.2104 0.1052 0.7848  1 Mn 1.85, 2 Li 2.02
Li 0.6594 0.0000 0.0000  6 F 2.02-2.14
F 0.7672 0.2328 0.2736  1 Mn 1.84
Li 0.3406 0.0000 0.0000  6 F 2.02-2.14
F 0.4348 0.8697 0.2509  1 Mn 1.86, 2 Li 2.03

Summary:
Magnetization in μB per cell: 8.7
Crystal system: trigonal

=====

The data favor (a); the next most stable structure lies 0.018 eV/atom above it.

=====

(a)
The following is a GGA+U calculation of a relaxed Li2MnF6 crystal, from the Alexandria database.

a b c (Å): 4.9227 4.9227 4.4288
angles (deg): 90.00 90.00 120.00
Last column: nearest neighbours and their distance in Å.
Fractional positions:
F 0.3079 0.3079 0.2407  1 Mn 1.85, 2 Li 2.06
Mn 0.0000 0.0000 0.0000  6 F 1.85
F 0.6921 0.6921 0.7593  1 Mn 1.85, 2 Li 2.06
Li 0.6667 0.3333 0.5000  6 F 2.06
F 0.0000 0.3079 0.7593  1 Mn 1.85, 2 Li 2.06
F 0.0000 0.6921 0.2407  1 Mn 1.85, 2 Li 2.06
F 0.6921 0.0000 0.2407  1 Mn 1.85, 2 Li 2.06
F 0.3079 0.0000 0.7593  1 Mn 1.85, 2 Li 2.06
Li 0.3333 0.6667 0.5000  6 F 2.06

Summary:
Magnetization in μB per cell: 3.0
Crystal system: trigonal

=====

(b)
The following is a GGA+U calculation of a relaxed Li2MnF6 crystal, from the Alexandria database.

a b c (Å): 6.2278 6.2278 6.1515
angles (deg): 90.00 90.00 90.00
Last column: nearest neighbours and their distance in Å.
Fractional positions:
F 0.0007 0.2994 0.0000  1 Mn 1.86, 2 Li 1.98
F 0.0000 0.0000 0.2926  1 Mn 1.80
F 0.4993 0.7994 0.5000  1 Mn 1.86, 2 Li 1.98
F 0.0000 0.0000 0.7074  1 Mn 1.80
F 0.7006 0.0007 0.0000  1 Mn 1.86, 2 Li 1.98
Mn 0.5000 0.5000 0.5000  6 F 1.80-1.86
F 0.7994 0.5007 0.5000  1 Mn 1.86, 2 Li 1.98
F 0.2006 0.4993 0.5000  1 Mn 1.86, 2 Li 1.98
Li 0.5000 0.0000 0.7500  4 F 1.98
F 0.5007 0.2006 0.5000  1 Mn 1.86, 2 Li 1.98
F 0.9993 0.7006 0.0000  1 Mn 1.86, 2 Li 1.98
F 0.2994 0.9993 0.0000  1 Mn 1.86, 2 Li 1.98
Li 0.0000 0.5000 0.7500  4 F 1.98
Li 0.0000 0.5000 0.2500  4 F 1.98
F 0.5000 0.5000 0.2074  1 Mn 1.80
Li 0.5000 0.0000 0.2500  4 F 1.98
F 0.5000 0.5000 0.7926  1 Mn 1.80
Mn 0.0000 0.0000 0.0000  6 F 1.80-1.86

Summary:
Magnetization in μB per cell: 6.0
Crystal system: tetragonal

=====

The data favor (a); the next most stable structure lies 0.022 eV/atom above it.